No. 1
Material: SrNdAl
Method: DFT, GGA-PBE
State: optimized geometry

The structure in POSCAR format:
```
SrNdAl
1.0
-1.537 -2.768 -2.138
3.322 -0.425 -1.837
1.095 -3.131 6.679
Sr Nd Al
1 1 1
Cartesian
0.098 -0.234 0.232 Sr
1.178 -2.800 2.779 Nd
1.605 -3.290 -0.307 Al
```

Fermi-level density of states, states/eV per cell: 2.14
Final energy, eV per cell: -10.528
ΔH_f (0 K), eV per atom: -0.112
Symmetry: I4mm (107)
Distance to the lowest polymorph of the same formula, meV per atom: 0
Calculated volume, Å³/cell: 101

---

No. 2
Material: Ce2PtBr2
Method: DFT, GGA-PBE
State: optimized geometry

The structure in POSCAR format:
```
Ce2PtBr2
1.0
4.090 0.000 0.757
1.975 3.582 0.757
0.083 0.049 10.986
Ce Pt Br
2 1 2
Cartesian
3.747 2.213 2.613 Ce
2.402 1.418 9.886 Ce
0.000 0.000 0.000 Pt
1.375 0.812 4.001 Br
4.774 2.819 8.498 Br
```

Fermi-level density of states, states/eV per cell: 11.26
Final energy, eV per cell: -28.277
Symmetry: R-3m (166)
Calculated volume, Å³/cell: 161
Formation energy without anion corrections, eV/atom: -1.40

---

No. 3
Material: Tb6Sb3PSe2
Method: DFT, GGA-PBE
State: optimized geometry

The structure in POSCAR format:
```
Tb6Sb3PSe2
1.0
-1.878 1.737 -3.375
2.803 -6.389 -4.848
-7.277 -3.908 4.695
Tb Sb P Se
6 3 1 2
Cartesian
-3.069 -7.934 -2.375 Tb
-2.066 -3.845 -3.486 Tb
-3.283 -0.626 -1.152 Tb
0.639 -1.476 -1.115 Tb
-6.992 -7.085 -2.412 Tb
-4.286 -4.715 -0.041 Tb
0.462 -2.326 -4.111 Sb
-5.898 -2.192 -0.503 Sb
-0.455 -6.368 -3.024 Sb
-0.939 0.868 -1.687 P
-4.554 -5.412 -2.907 Se
-1.798 -3.148 -0.619 Se
```

Fermi-level density of states, states/eV per cell: 3.74
Final energy, eV per cell: -69.882
Symmetry: C2/m (12)
Calculated volume, Å³/cell: 324
Formation energy without anion corrections, eV/atom: -1.45

---

No. 4
Material: Ba4PRh
Method: DFT, GGA-PBE
State: optimized geometry

The structure in POSCAR format:
```
Ba4PRh
1.0
-3.588 -5.055 2.677
-2.795 0.707 6.105
-6.701 0.565 0.600
Ba P Rh
4 1 1
Cartesian
-6.700 -3.941 4.856 Ba
-8.253 -1.138 3.820 Ba
-6.305 -1.067 6.567 Ba
-4.910 -1.419 3.521 Ba
-9.813 -2.837 7.036 P
0.000 0.000 0.000 Rh
```

Fermi-level density of states, states/eV per cell: 3.09
Final energy, eV per cell: -16.172
ΔH_f (0 K), eV per atom: 0.713
Symmetry: F-43m (216)
Distance to the lowest polymorph of the same formula, meV per atom: 1202
Calculated volume, Å³/cell: 218

---

No. 5
Material: SiSbTe2P
Method: DFT, GGA-PBE
State: optimized geometry

The structure in POSCAR format:
```
SiSbTe2P
1.0
5.295 0.000 0.000
0.000 5.295 0.000
0.000 0.000 5.036
Sb Si Te P
1 1 2 1
Cartesian
0.000 0.000 2.518 Sb
2.647 2.647 2.518 Si
0.000 2.647 0.000 Te
2.647 0.000 0.000 Te
0.000 0.000 0.000 P
```

Fermi-level density of states, states/eV per cell: 3.29
Final energy, eV per cell: -17.296
Symmetry: P4/mmm (123)
Distance to the lowest polymorph of the same formula, meV per atom: 0
Calculated volume, Å³/cell: 141
Formation energy without anion corrections, eV/atom: 0.79

---

No. 6
Material: TbSmDyY
Method: DFT, GGA-PBE
State: optimized geometry

The structure in POSCAR format:
```
TbSmDyY
1.0
5.062 0.000 0.000
0.000 5.062 0.000
-2.531 -2.531 5.045
Tb Sm Dy Y
1 1 1 1
Cartesian
2.531 0.000 1.973 Tb
2.531 2.531 4.494 Sm
0.000 2.531 1.974 Dy
0.000 0.000 4.496 Y
```

Fermi-level density of states, states/eV per cell: 5.72
Final energy, eV per cell: -20.343
ΔH_f (0 K), eV per atom: 0.018
Symmetry: I-4m2 (119)
Distance to the lowest polymorph of the same formula, meV per atom: 0
Calculated volume, Å³/cell: 129

---

No. 7
Material: Pu2Al3Rh
Method: DFT, GGA-PBE
State: optimized geometry

The structure in POSCAR format:
```
Pu2Al3Rh
1.0
0.208 4.573 -3.079
4.414 -3.292 0.347
-2.997 -4.169 -1.451
Pu Al Rh
2 3 1
Cartesian
1.420 1.645 -2.402 Pu
0.205 -4.533 -1.780 Pu
0.812 -1.444 -2.091 Al
-1.499 -2.085 -0.725 Al
-1.395 0.202 -2.265 Al
0.000 0.000 0.000 Rh
```

Fermi-level density of states, states/eV per cell: 12.35
Final energy, eV per cell: -50.328
ΔH_f (0 K), eV per atom: -0.514
Symmetry: R-3m (166)
Calculated volume, Å³/cell: 113

---

No. 8
Material: Sc5Ga
Method: DFT, GGA-PBE
State: optimized geometry

The structure in POSCAR format:
```
Sc5Ga
1.0
-1.260 2.093 -2.191
-3.871 -6.321 -1.346
-4.001 -0.277 4.498
Sc Ga
5 1
Cartesian
-2.176 1.611 -0.961 Sc
-3.609 -1.232 -0.393 Sc
-5.657 -3.764 0.829 Sc
-3.191 -4.262 -1.060 Sc
-3.559 -0.440 2.785 Sc
-6.167 -0.816 1.466 Ga
```

Fermi-level density of states, states/eV per cell: 8.43
Final energy, eV per cell: -35.722
ΔH_f (0 K), eV per atom: -0.173
Symmetry: P1 (1)
Distance to the lowest polymorph of the same formula, meV per atom: 15
Calculated volume, Å³/cell: 137

---

No. 9
Material: As3S4
Method: DFT, GGA-PBE
State: optimized geometry

The structure in POSCAR format:
```
As3S4
1.0
3.567 0.000 0.000
0.000 6.589 0.340
-1.783 -2.749 6.591
As S
3 4
Cartesian
0.000 0.000 0.000 As
0.000 0.426 3.375 As
1.783 3.415 3.556 As
0.000 2.427 2.064 S
1.783 1.413 4.868 S
0.000 -2.035 4.932 S
1.783 5.875 1.999 S
```

Fermi-level density of states, states/eV per cell: 1.55
Final energy, eV per cell: -30.124
Symmetry: C2/m (12)
Calculated volume, Å³/cell: 158
Formation energy without anion corrections, eV/atom: 0.05

---

No. 10
Material: LaTi2F
Method: DFT, GGA-PBE
State: optimized geometry

The structure in POSCAR format:
```
LaTi2F
1.0
-1.776 -3.851 1.902
-0.506 -0.294 4.611
-4.249 0.084 1.882
F Ti La
1 2 1
Cartesian
0.000 0.000 0.000 F
-1.633 -1.015 2.099 Ti
-4.898 -3.045 6.296 Ti
-3.265 -2.030 4.197 La
```

Fermi-level density of states, states/eV per cell: 4.71
Final energy, eV per cell: -21.628
Symmetry: Fm-3m (225)
Distance to the lowest polymorph of the same formula, meV per atom: 760
Calculated volume, Å³/cell: 71
Formation energy without anion corrections, eV/atom: 0.24

---

No. 11
Material: Ca4TbSm3Se8
Method: DFT, GGA-PBE
State: optimized geometry

The structure in POSCAR format:
```
Ca4TbSm3Se8
1.0
-6.049 -5.320 -1.949
3.811 -5.987 4.513
-1.847 7.250 3.567
Ca Tb Sm Se
4 1 3 8
Cartesian
-3.025 -2.660 -0.974 Ca
-3.948 0.965 0.809 Ca
0.000 0.000 0.000 Ca
-0.924 3.625 1.784 Ca
1.905 -2.994 2.257 Tb
-1.119 -5.653 1.282 Sm
-2.043 -2.028 3.066 Sm
0.982 0.631 4.040 Sm
1.354 -5.799 2.911 Se
0.438 -2.212 4.677 Se
-1.485 0.808 2.405 Se
-1.703 -8.488 1.926 Se
-2.383 4.431 4.206 Se
-2.601 -4.864 3.727 Se
-4.524 -1.845 1.454 Se
-5.439 1.743 3.221 Se
```

Fermi-level density of states, states/eV per cell: 5.45
Final energy, eV per cell: -84.996
Symmetry: R-3m (166)
Calculated volume, Å³/cell: 412
Formation energy without anion corrections, eV/atom: -1.90

---

No. 12
Material: Mg2InGa2
Method: DFT, GGA-PBE
State: optimized geometry

The structure in POSCAR format:
```
Mg2InGa2
1.0
8.048 0.000 0.000
0.000 8.048 0.000
0.000 0.000 3.241
Mg Ga In
4 4 2
Cartesian
1.447 5.471 1.620 Mg
5.471 6.601 1.620 Mg
6.601 2.577 1.620 Mg
2.577 1.447 1.620 Mg
3.077 7.101 0.000 Ga
7.101 4.971 0.000 Ga
4.971 0.947 0.000 Ga
0.947 3.077 0.000 Ga
0.000 0.000 0.000 In
4.024 4.024 0.000 In
```

Fermi-level density of states, states/eV per cell: 4.24
Final energy, eV per cell: -24.853
ΔH_f (0 K), eV per atom: -0.089
Symmetry: P4/mbm (127)
Distance to the lowest polymorph of the same formula, meV per atom: 0
Calculated volume, Å³/cell: 210

---

No. 13
Material: La4Sm3NpN8
Method: DFT, GGA-PBE
State: optimized geometry

The structure in POSCAR format:
```
La4Sm3NpN8
1.0
-2.684 -6.715 -0.306
5.578 -2.036 -4.244
1.311 3.084 6.415
La Sm Np N
4 3 1 8
Cartesian
-1.342 -3.357 -0.153 La
-0.687 -1.815 3.054 La
0.000 0.000 0.000 La
0.655 1.542 3.208 La
1.447 -4.375 -2.275 Sm
2.102 -2.833 0.933 Sm
3.444 0.524 1.086 Sm
2.789 -1.018 -2.122 Np
4.712 0.058 3.238 N
4.009 -1.594 -0.199 N
1.423 -0.663 2.070 N
3.275 -3.538 3.073 N
0.930 -2.128 -1.208 N
2.781 -5.003 -0.204 N
0.195 -4.073 2.065 N
-0.508 -5.724 -1.372 N
```

Fermi-level density of states, states/eV per cell: 7.13
Final energy, eV per cell: -135.124
Symmetry: R-3m (166)
Calculated volume, Å³/cell: 271
Formation energy without anion corrections, eV/atom: -1.36

---

No. 14
Material: Li2Pm5Pb5
Method: DFT, GGA-PBE
State: optimized geometry

The structure in POSCAR format:
```
Li2Pm5Pb5
1.0
-1.655 -4.321 1.409
6.432 -0.117 -1.106
-4.250 5.446 11.714
Li Pm Pb
2 5 5
Cartesian
-2.803 4.075 9.208 Li
3.330 -3.067 2.809 Li
-2.952 0.562 6.561 Pm
0.947 -2.840 0.704 Pm
0.018 -1.450 3.878 Pm
0.510 2.458 8.139 Pm
-0.419 3.849 11.313 Pm
-0.213 1.705 4.980 Pb
-2.295 1.325 9.673 Pb
2.823 -0.317 2.344 Pb
0.741 -0.697 7.037 Pb
0.000 0.000 0.000 Pb
```

Fermi-level density of states, states/eV per cell: 6.88
Final energy, eV per cell: -50.766
ΔH_f (0 K), eV per atom: -0.387
Symmetry: C2/m (12)
Distance to the lowest polymorph of the same formula, meV per atom: 125
Calculated volume, Å³/cell: 346

---

No. 15
Material: Pa2AlRe
Method: DFT, GGA-PBE
State: optimized geometry

The structure in POSCAR format:
```
Pa2AlRe
1.0
-2.839 1.611 1.744
-2.368 -1.722 -2.264
-0.293 -4.797 3.954
Re Pa Al
1 2 1
Cartesian
-2.604 -0.055 -0.260 Re
-0.223 -3.643 3.003 Pa
-0.070 -1.153 0.951 Pa
-2.750 -2.454 1.717 Al
```

Fermi-level density of states, states/eV per cell: 6.52
Final energy, eV per cell: -35.253
ΔH_f (0 K), eV per atom: -0.018
Symmetry: P4/mmm (123)
Distance to the lowest polymorph of the same formula, meV per atom: 106
Calculated volume, Å³/cell: 85

---

No. 16
Material: Tb3ScIr2
Method: DFT, GGA-PBE
State: optimized geometry

The structure in POSCAR format:
```
Tb3ScIr2
1.0
3.995 0.000 -1.156
-0.365 4.432 -1.261
0.142 -0.135 7.969
Tb Sc Ir
3 1 2
Cartesian
1.815 2.216 -1.209 Tb
3.234 1.315 3.694 Tb
0.538 2.982 1.858 Tb
0.000 0.000 0.000 Sc
1.281 3.774 4.427 Ir
2.490 0.522 1.125 Ir
```

Fermi-level density of states, states/eV per cell: 4.76
Final energy, eV per cell: -41.676
ΔH_f (0 K), eV per atom: -0.622
Symmetry: Immm (71)
Calculated volume, Å³/cell: 141

---

No. 17
Material: Sc2BC
Method: DFT, GGA-PBE
State: optimized geometry

The structure in POSCAR format:
```
Sc2BC
1.0
-1.234 -0.627 -5.943
-5.007 -3.204 1.378
-4.816 0.764 -2.213
Sc C B
4 2 2
Cartesian
-2.639 -0.620 -4.274 Sc
-4.451 -1.871 -0.257 Sc
-5.803 -0.767 -3.413 Sc
-9.224 -2.875 -5.613 Sc
0.000 0.000 0.000 C
-4.586 -0.889 -5.219 C
-3.121 -1.915 -2.283 B
-6.472 -2.178 -1.559 B
```

Fermi-level density of states, states/eV per cell: 2.50
Final energy, eV per cell: -55.346
ΔH_f (0 K), eV per atom: 0.223
Symmetry: I-42d (122)
Distance to the lowest polymorph of the same formula, meV per atom: 0
Calculated volume, Å³/cell: 118

---

No. 18
Material: La2CdPt2
Method: DFT, GGA-PBE
State: optimized geometry

The structure in POSCAR format:
```
La2CdPt2
1.0
-4.350 -3.626 -0.765
1.782 -1.012 -5.335
1.062 -5.423 -1.677
Cd Pt La
1 2 2
Cartesian
0.000 0.000 0.000 Cd
-0.539 -3.305 -2.614 Pt
-0.967 -6.758 -5.162 Pt
-2.286 -5.685 -2.746 La
0.780 -4.378 -5.031 La
```

Fermi-level density of states, states/eV per cell: 3.16
Final energy, eV per cell: -27.173
ΔH_f (0 K), eV per atom: -0.864
Symmetry: I4/mmm (139)
Calculated volume, Å³/cell: 135

---

No. 19
Material: CaLaHg5
Method: DFT, GGA-PBE
State: optimized geometry

The structure in POSCAR format:
```
CaLaHg5
1.0
5.285 0.000 0.000
0.000 5.285 0.000
0.000 0.000 7.023
Ca La Hg
1 1 5
Cartesian
2.642 2.643 0.000 Ca
0.000 0.000 3.511 La
0.000 2.643 5.437 Hg
0.000 2.643 1.586 Hg
2.642 0.000 5.437 Hg
2.642 0.000 1.586 Hg
2.642 2.643 3.511 Hg
```

Fermi-level density of states, states/eV per cell: 3.68
Final energy, eV per cell: -10.663
ΔH_f (0 K), eV per atom: -0.318
Symmetry: P4/mmm (123)
Calculated volume, Å³/cell: 196

---

No. 20
Material: NaSn3Bi
Method: DFT, GGA-PBE
State: optimized geometry

The structure in POSCAR format:
```
NaSn3Bi
1.0
5.988 0.000 0.000
0.000 5.988 0.000
0.000 0.000 5.988
Na Bi Sn
1 1 3
Cartesian
2.994 2.994 2.994 Na
0.000 0.000 0.000 Bi
0.000 2.994 0.000 Sn
0.000 0.000 2.994 Sn
2.994 0.000 0.000 Sn
```

Fermi-level density of states, states/eV per cell: 4.41
Final energy, eV per cell: -14.547
ΔH_f (0 K), eV per atom: 0.532
Symmetry: Pm-3m (221)
Distance to the lowest polymorph of the same formula, meV per atom: 381
Calculated volume, Å³/cell: 215

---

No. 21
Material: K4ScU3O12
Method: DFT, GGA-PBE
State: optimized geometry

The structure in POSCAR format:
```
K4ScU3O12
1.0
-6.790 -2.363 -1.697
2.118 -2.993 6.413
-0.036 7.361 0.611
K Sc U O
4 1 3 12
Cartesian
-2.354 1.003 2.664 K
-0.018 3.681 0.306 K
-3.395 -1.181 -0.848 K
1.059 -1.497 3.206 K
0.000 0.000 0.000 Sc
-3.413 2.499 -0.543 U
-2.336 -2.678 2.358 U
1.041 2.184 3.512 U
-0.665 3.434 3.241 O
-5.063 3.708 -0.805 O
-1.762 1.291 -0.280 O
-4.043 -1.428 2.086 O
-3.466 -3.973 3.498 O
-1.206 -1.383 1.218 O
-4.581 1.160 0.636 O
-0.127 0.845 4.691 O
-2.892 3.591 1.213 O
1.544 3.240 5.211 O
-1.816 -1.586 4.114 O
0.538 1.128 1.814 O
```

Fermi-level density of states, states/eV per cell: 8.41
Final energy, eV per cell: -161.930
Symmetry: Im-3m (229)
Calculated volume, Å³/cell: 310
Formation energy without anion corrections, eV/atom: -2.89

---

No. 22
Material: Rb3Dy3US8
Method: DFT, GGA-PBE
State: optimized geometry

The structure in POSCAR format:
```
Rb3Dy3US8
1.0
-6.569 -0.360 -4.710
5.603 -5.818 -0.419
-5.306 -0.018 7.401
Rb Dy U S
3 3 1 8
Cartesian
0.000 0.000 0.000 Rb
2.801 -2.909 -0.210 Rb
-0.483 -3.089 -2.565 Rb
-5.937 -0.189 1.346 Dy
-3.136 -3.098 1.136 Dy
0.148 -2.918 3.491 Dy
-2.653 -0.009 3.701 U
-0.393 -3.244 0.796 S
-5.879 -2.952 1.476 S
-3.680 -3.473 -1.551 S
-2.592 -2.723 3.823 S
-6.527 -0.517 -1.338 S
0.255 -5.680 3.610 S
-3.189 -0.333 1.055 S
-3.082 -5.863 1.217 S
```

Fermi-level density of states, states/eV per cell: 6.32
Final energy, eV per cell: -87.575
Symmetry: R-3m (166)
Calculated volume, Å³/cell: 443
Formation energy without anion corrections, eV/atom: -1.77

---

No. 23
Material: Li2TlIn
Method: DFT, GGA-PBE
State: optimized geometry

The structure in POSCAR format:
```
Li2TlIn
1.0
3.659 0.000 0.000
0.000 3.748 0.000
0.000 0.000 6.229
Tl Li In
1 2 1
Cartesian
0.000 0.000 2.933 Tl
0.000 0.000 6.208 Li
1.829 1.874 1.579 Li
1.829 1.874 4.852 In
```

Fermi-level density of states, states/eV per cell: 0.93
Final energy, eV per cell: -9.709
ΔH_f (0 K), eV per atom: -0.194
Symmetry: Pmm2 (25)
Calculated volume, Å³/cell: 85

---

No. 24
Material: ZrCrHRh2
Method: DFT, GGA-PBE
State: optimized geometry

The structure in POSCAR format:
```
ZrCrHRh2
1.0
-3.258 -1.014 -2.234
2.329 -0.115 -3.346
0.735 -3.772 0.641
Cr Rh Zr H
1 2 1 1
Cartesian
0.367 -1.886 0.320 Cr
1.165 -0.057 -1.673 Rh
-1.629 -0.507 -1.117 Rh
-0.097 -2.450 -2.469 Zr
0.000 0.000 0.000 H
```

Fermi-level density of states, states/eV per cell: 3.37
Final energy, eV per cell: -38.041
Symmetry: P4/mmm (123)
Distance to the lowest polymorph of the same formula, meV per atom: 0
Calculated volume, Å³/cell: 65